# 1
## LiMnCd2 (PBE-GGA)

Data for a relaxed LiMnCd2 crystal.

Uncorrected energy: -12.809 eV for the cell shown
Fermi-level density of states: 0.55 states/eV/atom
Calculated formation energy: 0.03 eV/atom

a = 3.1871 Å, b = 3.3239 Å, c = 6.7716 Å
α = 90.00°, β = 90.21°, γ = 90.00°
Closest atoms and distances in Å follow each position.
Space group P2/m (No. 10)
One atom of each set of equivalent atoms:
Li  0.0000  0.0000  0.0000 [1 per cell]  8 Cd 2.84-2.85
Mn  0.0000  0.0000  0.5000 [1 per cell]  8 Cd 2.87, 2 Mn 3.19
Cd  0.5001  0.5000  0.2470 [2 per cell]  4 Li 2.84-2.85, 4 Mn 2.87


# 2
## LiMn2Cd (PBE-GGA)

Data for a relaxed LiMn2Cd crystal.

Uncorrected energy: -39.765 eV for the cell shown
Fermi-level density of states: 0.82 states/eV/atom
Calculated formation energy: 0.32 eV/atom

a = 9.3357 Å, b = 2.8474 Å, c = 4.9736 Å
α = 90.00°, β = 99.99°, γ = 90.00°
Closest atoms and distances in Å follow each position.
Space group Cm (No. 8)
One atom of each set of equivalent atoms:
Li  0.0000  0.0000  0.0000 [2 per cell]  7 Mn 2.77-2.97, 3 Cd 2.78-2.85, 2 Li 2.85
Mn  0.0081  0.5000  0.5256 [2 per cell]  5 Mn 2.67-2.86, 4 Li 2.77-2.97, 3 Cd 2.89-2.91
Mn  0.2420  0.0000  0.7380 [2 per cell]  5 Mn 2.67-2.86, 3 Li 2.80-2.90, 4 Cd 2.86-2.87
Cd  0.2539  0.5000  0.2435 [2 per cell]  3 Li 2.78-2.85, 2 Cd 2.85, 7 Mn 2.86-2.91


# 3
## LiMn4Cd (PBE-GGA)

Data for a relaxed LiMn4Cd crystal.

Uncorrected energy: -147.912 eV for the cell shown
Fermi-level density of states: 1.52 states/eV/atom
Calculated formation energy: 0.42 eV/atom

a = 6.8902 Å, b = 6.8902 Å, c = 6.8902 Å
α = 90.00°, β = 90.00°, γ = 90.00°
Closest atoms and distances in Å follow each position.
Space group F-43m (No. 216)
One atom of each set of equivalent atoms:
Li  0.0000  0.0000  0.0000 [4 per cell]  12 Mn 2.85, 4 Cd 2.98
Mn  0.1261  0.1261  0.6261 [16 per cell]  6 Mn 2.41-2.46
Cd  0.2500  0.2500  0.2500 [4 per cell]  12 Mn 2.86, 4 Li 2.98


# 4
## LiMnCd2 (PBE-GGA)

Data for a relaxed LiMnCd2 crystal.

Uncorrected energy: -24.807 eV for the cell shown
Fermi-level density of states: 0.49 states/eV/atom
Calculated formation energy: 0.13 eV/atom

a = 9.4197 Å, b = 2.9351 Å, c = 5.4737 Å
α = 90.00°, β = 97.60°, γ = 90.00°
Closest atoms and distances in Å follow each position.
Space group C2/m (No. 12)
One atom of each set of equivalent atoms:
Li  0.0000  0.0000  0.0000 [2 per cell]  6 Cd 2.84-2.98, 2 Li 2.94, 4 Mn 3.11
Mn  0.0000  0.5000  0.5000 [2 per cell]  6 Cd 2.91-2.92, 2 Mn 2.94, 4 Li 3.11
Cd  0.2457  0.0000  0.7500 [4 per cell]  3 Li 2.84-2.98, 3 Mn 2.91-2.92, 6 Cd 2.94-3.12


# 5
## LiMn3Cd (PBE-GGA)

Data for a relaxed LiMn3Cd crystal.

Polymorph energy (0 for the lowest one): 1.14 eV per formula unit
Uncorrected energy: -24.473 eV for the cell shown
Fermi-level density of states: 1.11 states/eV/atom
Calculated formation energy: 1.17 eV/atom

a = 5.0938 Å, b = 5.0938 Å, c = 5.0938 Å
α = 90.00°, β = 90.00°, γ = 90.00°
Closest atoms and distances in Å follow each position.
Space group Pm-3m (No. 221)
One atom of each set of equivalent atoms:
Li  0.0000  0.0000  0.0000 [1 per cell]  12 Mn 3.60
Mn  0.0000  0.5000  0.5000 [3 per cell]  2 Cd 2.55
Cd  0.5000  0.5000  0.5000 [1 per cell]  6 Mn 2.55


# 6
## LiMnCd2 (PBE-GGA)

Data for a relaxed LiMnCd2 crystal.

Uncorrected energy: -12.852 eV for the cell shown
Fermi-level density of states: 0.50 states/eV/atom
Calculated formation energy: 0.02 eV/atom

a = 4.7465 Å, b = 4.7465 Å, c = 3.1616 Å
α = 90.00°, β = 90.00°, γ = 90.00°
Closest atoms and distances in Å follow each position.
Space group P4/mmm (No. 123)
One atom of each set of equivalent atoms:
Li  0.0000  0.0000  0.0000 [1 per cell]  8 Cd 2.85, 2 Li 3.16
Mn  0.5000  0.5000  0.0000 [1 per cell]  8 Cd 2.85, 2 Mn 3.16
Cd  0.0000  0.5000  0.5000 [2 per cell]  4 Mn 2.85, 4 Li 2.85, 2 Cd 3.16


# 7
## LiMn2Cd (PBE-GGA)

Data for a relaxed LiMn2Cd crystal.

Uncorrected energy: -19.926 eV for the cell shown
Fermi-level density of states: 0.85 states/eV/atom
Calculated formation energy: 0.31 eV/atom

a = 3.9151 Å, b = 3.9151 Å, c = 4.2113 Å
α = 90.00°, β = 90.00°, γ = 90.00°
Closest atoms and distances in Å follow each position.
Space group P4/mmm (No. 123)
One atom of each set of equivalent atoms:
Li  0.0000  0.0000  0.0000 [1 per cell]  4 Cd 2.77, 8 Mn 2.88
Mn  0.0000  0.5000  0.5000 [2 per cell]  4 Mn 2.77, 4 Cd 2.88, 4 Li 2.88
Cd  0.5000  0.5000  0.0000 [1 per cell]  4 Li 2.77, 8 Mn 2.88


# 8
## LiMnCd2 (PBE-GGA)

Data for a relaxed LiMnCd2 crystal.

Uncorrected energy: -46.015 eV for the cell shown
Fermi-level density of states: 0.59 states/eV/atom
Calculated formation energy: 0.35 eV/atom

a = 4.1480 Å, b = 4.1480 Å, c = 19.5908 Å
α = 90.00°, β = 90.00°, γ = 90.00°
Closest atoms and distances in Å follow each position.
Space group I-42d (No. 122)
One atom of each set of equivalent atoms:
Li  0.0000  0.0000  0.0000 [4 per cell]  4 Cd 2.85, 4 Mn 2.93
Mn  0.0000  0.0000  0.5000 [4 per cell]  4 Cd 2.86, 4 Li 2.93
Cd  0.2483  0.2500  0.1250 [8 per cell]  2 Li 2.85, 2 Mn 2.86, 4 Cd 2.92-2.94


# 9
## LiMnCd2 (PBE-GGA)

Data for a relaxed LiMnCd2 crystal.

Uncorrected energy: -12.461 eV for the cell shown
Fermi-level density of states: 0.66 states/eV/atom
Calculated formation energy: 0.11 eV/atom

a = 2.9472 Å, b = 4.3140 Å, c = 5.8377 Å
α = 90.00°, β = 90.00°, γ = 90.00°
Closest atoms and distances in Å follow each position.
Space group Pmm2 (No. 25)
One atom of each set of equivalent atoms:
Li  0.0000  0.0000  0.0000 [1 per cell]  6 Cd 2.80-3.04, 2 Li 2.95, 4 Mn 3.02
Mn  0.5000  0.5000  0.2602 [1 per cell]  6 Cd 2.85-2.99, 2 Mn 2.95, 4 Li 3.02
Cd  0.0000  0.0000  0.4794 [1 per cell]  2 Li 2.80-3.04, 4 Mn 2.91, 6 Cd 2.95-3.12
Cd  0.5000  0.5000  0.7726 [1 per cell]  2 Mn 2.85-2.99, 4 Li 2.93, 6 Cd 2.95-3.12


# 10
## Li4MnCd (PBE-GGA)

Data for a relaxed Li4MnCd crystal.

Uncorrected energy: -67.676 eV for the cell shown
Fermi-level density of states: 0.44 states/eV/atom
Calculated formation energy: 0.14 eV/atom

a = 7.3144 Å, b = 7.3144 Å, c = 7.3144 Å
α = 90.00°, β = 90.00°, γ = 90.00°
Closest atoms and distances in Å follow each position.
Space group F-43m (No. 216)
One atom of each set of equivalent atoms:
Li  0.1247  0.1247  0.1247 [16 per cell]  6 Li 2.58-2.59
Mn  0.2500  0.2500  0.7500 [4 per cell]  12 Li 3.03, 4 Cd 3.17
Cd  0.0000  0.0000  0.5000 [4 per cell]  12 Li 3.03, 4 Mn 3.17